Entry from the Alexandria database: a relaxed structure of HoCuSnHg (PBE).

Unit cell a=7.0409 b=7.0409 c=7.0409 alpha=90.00 beta=90.00 gamma=90.00
Closest atoms and distances in Å follow each position.
Space group F-43m (No. 216)
Inequivalent atoms, fractional coordinates:
Ho 0.0000 0.0000 0.0000  4 Hg 3.05, 4 Cu 3.05
Cu 0.2500 0.2500 0.2500  4 Sn 3.05, 4 Ho 3.05
Sn 0.0000 0.0000 0.5000  4 Hg 3.05, 4 Cu 3.05
Hg 0.2500 0.2500 0.7500  4 Sn 3.05, 4 Ho 3.05

Output
Total magnetization   0.00 Bohr magnetons per cell
Total DFT energy (no corrections)   -3.47 eV/atom